The following is a PBE with a Hubbard U calculation of a relaxed ZrV2BiO crystal, from the Alexandria database.

a b c (Å): 4.3604 4.3604 4.6610
angles (deg): 90.00 90.00 90.00
With the nearest neighbours (Å) after each atom.
Positions (direct):
Zr 0.0000 0.0000 0.0000  2 O 2.33
V 0.0000 0.5000 0.5000  2 O 2.18
V 0.5000 0.0000 0.5000  2 O 2.18
Bi 0.5000 0.5000 0.0000  4 Zr 3.08, 8 V 3.19
O 0.0000 0.0000 0.5000  4 V 2.18, 2 Zr 2.33

SG: P4/mmm (123)
total DFT energy (no corrections): -33.83 eV for the cell shown
N(E_F): 3.05 states/eV/cell